1.
# PBE LiPdAuO3, relaxed
data_LiPdAuO3
_cell_length_a 12.446
_cell_length_b 2.985
_cell_length_c 7.482
_cell_angle_alpha 90.00
_cell_angle_beta 90.00
_cell_angle_gamma 90.00
_space_group_name_H-M_alt 'P n m a'
_space_group_IT_number 62
loop_
_space_group_symop_operation_xyz
'x,y,z'
'-x,-y,-z'
'-x+1/2,-y,z+1/2'
'x+1/2,y,-z+1/2'
'x+1/2,-y+1/2,-z+1/2'
'-x+1/2,y+1/2,z+1/2'
'-x,y+1/2,-z'
'x,-y+1/2,z'
loop_
_atom_site_label
_atom_site_fract_x
_atom_site_fract_y
_atom_site_fract_z
Li1 0.231 0.250 0.048
Pd1 0.033 0.250 0.826
Au1 0.076 0.250 0.416
O1 0.092 0.750 0.999
O2 0.157 0.250 0.660
O3 0.221 0.250 0.315
# E_tot (eV/cell): -107.6

=====

2.
# PBE LiPdAu3O4, relaxed
data_LiPdAu3O4
_cell_length_a 5.085
_cell_length_b 5.085
_cell_length_c 5.085
_cell_angle_alpha 90.00
_cell_angle_beta 90.00
_cell_angle_gamma 90.00
_space_group_name_H-M_alt 'P -4 3 m'
_space_group_IT_number 215
_space_group_name_Hall 'P -4 2 3'
loop_
_atom_site_label
_atom_site_fract_x
_atom_site_fract_y
_atom_site_fract_z
Li1 0.000 0.000 0.000
Pd1 0.500 0.500 0.500
Au1 0.000 0.500 0.500
O1 0.217 0.217 0.217
# E_tot (eV/cell): -34.4

=====

3.
# PBE LiPtAuO3, relaxed
data_LiPtAuO3
_cell_length_a 12.511
_cell_length_b 3.016
_cell_length_c 7.586
_cell_angle_alpha 90.00
_cell_angle_beta 90.00
_cell_angle_gamma 90.00
_space_group_name_H-M_alt 'P n m a'
_space_group_IT_number 62
loop_
_space_group_symop_operation_xyz
'x,y,z'
'-x,-y,-z'
'-x+1/2,-y,z+1/2'
'x+1/2,y,-z+1/2'
'x+1/2,-y+1/2,-z+1/2'
'-x+1/2,y+1/2,z+1/2'
'-x,y+1/2,-z'
'x,-y+1/2,z'
loop_
_atom_site_label
_atom_site_fract_x
_atom_site_fract_y
_atom_site_fract_z
Li1 0.241 0.250 0.060
Pt1 0.033 0.250 0.824
Au1 0.073 0.250 0.413
O1 0.088 0.750 0.993
O2 0.154 0.250 0.654
O3 0.219 0.250 0.318
# Magnetic moment (μB per cell): 0.0
# E_tot (eV/cell): -111.9

=====

4.
# PBE LiReAu3O4, relaxed
data_LiReAu3O4
_cell_length_a 5.672
_cell_length_b 5.672
_cell_length_c 5.672
_cell_angle_alpha 90.00
_cell_angle_beta 90.00
_cell_angle_gamma 90.00
_space_group_name_H-M_alt 'P -4 3 m'
_space_group_IT_number 215
_space_group_name_Hall 'P -4 2 3'
loop_
_atom_site_label
_atom_site_fract_x
_atom_site_fract_y
_atom_site_fract_z
Li1 0.000 0.000 0.000
Re1 0.500 0.500 0.500
Au1 0.000 0.500 0.500
O1 0.303 0.303 0.303
# Magnetic moment (μB per cell): 1.4
# E_tot (eV/cell): -43.7

=====

5.
# PBE LiAuSO, relaxed
data_LiAuSO
_cell_length_a 5.721
_cell_length_b 6.160
_cell_length_c 6.901
_cell_angle_alpha 90.00
_cell_angle_beta 91.16
_cell_angle_gamma 90.00
_space_group_name_H-M_alt 'P 1 21/c 1'
_space_group_IT_number 14
loop_
_space_group_symop_operation_xyz
'x,y,z'
'-x,-y,-z'
'-x,y+1/2,-z+1/2'
'x,-y+1/2,z+1/2'
loop_
_atom_site_label
_atom_site_fract_x
_atom_site_fract_y
_atom_site_fract_z
Li1 0.176 0.249 0.499
Au1 0.250 0.668 0.251
S1 0.373 0.029 0.250
O1 0.074 0.135 0.748
# E above lowest polymorph (meV per atom): 164.6

=====

6.
# PBE LiAuSO, relaxed
data_LiAuSO
_cell_length_a 3.630
_cell_length_b 6.911
_cell_length_c 4.648
_cell_angle_alpha 90.00
_cell_angle_beta 90.00
_cell_angle_gamma 90.00
_space_group_name_H-M_alt 'P m c 21'
_space_group_IT_number 26
loop_
_space_group_symop_operation_xyz
'x,y,z'
'-x,-y,z+1/2'
'-x,y,z'
'x,-y,z+1/2'
loop_
_atom_site_label
_atom_site_fract_x
_atom_site_fract_y
_atom_site_fract_z
Li1 0.000 0.188 0.000
Au1 0.500 0.190 0.505
S1 0.000 0.453 0.507
O1 0.500 0.124 0.006
# E above lowest polymorph (meV per atom): 254.0

=====

7.
# PBE LiAuSO, relaxed
data_LiAuSO
_cell_length_a 3.721
_cell_length_b 3.721
_cell_length_c 8.074
_cell_angle_alpha 90.00
_cell_angle_beta 90.00
_cell_angle_gamma 90.00
_space_group_name_H-M_alt 'P 4/n m m'
_space_group_IT_number 129
loop_
_space_group_symop_operation_xyz
'x,y,z'
'-x,-y,-z'
'-y+1/2,x,z'
'y+1/2,-x,-z'
'-x+1/2,-y+1/2,z'
'x+1/2,y+1/2,-z'
'y,-x+1/2,z'
'-y,x+1/2,-z'
'x+1/2,-y,-z'
'-x+1/2,y,z'
'-y,-x,-z'
'y,x,z'
'-x,y+1/2,-z'
'x,-y+1/2,z'
'y+1/2,x+1/2,-z'
'-y+1/2,-x+1/2,z'
loop_
_atom_site_label
_atom_site_fract_x
_atom_site_fract_y
_atom_site_fract_z
Li1 0.250 0.750 0.000
Au1 0.250 0.250 0.345
S1 0.250 0.250 0.641
O1 0.250 0.250 0.095
# E above lowest polymorph (meV per atom): 0.0

=====

8.
# PBE LiAuSO, relaxed
data_LiAuSO
_cell_length_a 4.389
_cell_length_b 4.389
_cell_length_c 6.154
_cell_angle_alpha 90.00
_cell_angle_beta 90.00
_cell_angle_gamma 90.00
_space_group_name_H-M_alt 'P 4/n m m'
_space_group_IT_number 129
loop_
_space_group_symop_operation_xyz
'x,y,z'
'-x,-y,-z'
'-y+1/2,x,z'
'y+1/2,-x,-z'
'-x+1/2,-y+1/2,z'
'x+1/2,y+1/2,-z'
'y,-x+1/2,z'
'-y,x+1/2,-z'
'x+1/2,-y,-z'
'-x+1/2,y,z'
'-y,-x,-z'
'y,x,z'
'-x,y+1/2,-z'
'x,-y+1/2,z'
'y+1/2,x+1/2,-z'
'-y+1/2,-x+1/2,z'
loop_
_atom_site_label
_atom_site_fract_x
_atom_site_fract_y
_atom_site_fract_z
Li1 0.250 0.750 0.000
Au1 0.250 0.250 0.450
S1 0.250 0.250 0.845
O1 0.250 0.750 0.500
# E above lowest polymorph (meV per atom): 594.1

=====

9.
# PBE Li4SbAuO6, relaxed
data_Li4SbAuO6
_cell_length_a 5.555
_cell_length_b 8.942
_cell_length_c 5.396
_cell_angle_alpha 90.00
_cell_angle_beta 114.49
_cell_angle_gamma 90.00
_space_group_name_H-M_alt 'C 1 2 1'
_space_group_IT_number 5
loop_
_space_group_symop_operation_xyz
'x,y,z'
'-x,y,-z'
'x+1/2,y+1/2,z'
'-x+1/2,y+1/2,-z'
loop_
_atom_site_label
_atom_site_fract_x
_atom_site_fract_y
_atom_site_fract_z
Li1 0.000 0.000 0.000
Li2 0.000 0.162 0.500
Li3 0.000 0.519 0.500
Li4 0.000 0.825 0.500
Sb1 0.000 0.320 0.000
Au1 0.000 0.663 0.000
O1 0.209 0.175 0.278
O2 0.221 0.490 0.238
O3 0.243 0.332 0.795
# E_tot (eV/cell): -124.5

=====

10.
# PBE LiAuSeO, relaxed
data_LiAuSeO
_cell_length_a 6.591
_cell_length_b 7.186
_cell_length_c 5.505
_cell_angle_alpha 90.00
_cell_angle_beta 93.39
_cell_angle_gamma 90.00
_space_group_name_H-M_alt 'P 1 21/c 1'
_space_group_IT_number 14
loop_
_space_group_symop_operation_xyz
'x,y,z'
'-x,-y,-z'
'-x,y+1/2,-z+1/2'
'x,-y+1/2,z+1/2'
loop_
_atom_site_label
_atom_site_fract_x
_atom_site_fract_y
_atom_site_fract_z
Li1 0.066 0.156 0.092
Au1 0.232 0.588 0.043
Se1 0.473 0.686 0.387
O1 0.019 0.078 0.735
# E above lowest polymorph (meV per atom): 0.0

=====

11.
# PBE Li5AuSeO2, relaxed
data_Li5AuSeO2
_cell_length_a 3.913
_cell_length_b 3.913
_cell_length_c 8.201
_cell_angle_alpha 90.00
_cell_angle_beta 90.00
_cell_angle_gamma 90.00
_space_group_name_H-M_alt 'P 4/m m m'
_space_group_IT_number 123
_space_group_name_Hall '-P 4 2'
loop_
_atom_site_label
_atom_site_fract_x
_atom_site_fract_y
_atom_site_fract_z
Li1 0.000 0.000 0.000
Li2 0.000 0.500 0.221
Au1 0.000 0.000 0.500
Se1 0.500 0.500 0.000
O1 0.000 0.000 0.252
# E_tot (eV/cell): -38.4

=====

12.
# PBE LiAuSeO, relaxed
data_LiAuSeO
_cell_length_a 3.640
_cell_length_b 7.043
_cell_length_c 4.994
_cell_angle_alpha 90.00
_cell_angle_beta 90.00
_cell_angle_gamma 90.00
_space_group_name_H-M_alt 'P m c 21'
_space_group_IT_number 26
loop_
_space_group_symop_operation_xyz
'x,y,z'
'-x,-y,z+1/2'
'-x,y,z'
'x,-y,z+1/2'
loop_
_atom_site_label
_atom_site_fract_x
_atom_site_fract_y
_atom_site_fract_z
Li1 0.000 0.175 0.000
Au1 0.500 0.177 0.513
Se1 0.000 0.446 0.516
O1 0.500 0.125 0.018
# E above lowest polymorph (meV per atom): 168.2

=====

13.
# PBE LiAuSeO, relaxed
data_LiAuSeO
_cell_length_a 4.516
_cell_length_b 4.516
_cell_length_c 6.904
_cell_angle_alpha 90.00
_cell_angle_beta 90.00
_cell_angle_gamma 90.00
_space_group_name_H-M_alt 'P 4/n m m'
_space_group_IT_number 129
loop_
_space_group_symop_operation_xyz
'x,y,z'
'-x,-y,-z'
'-y+1/2,x,z'
'y+1/2,-x,-z'
'-x+1/2,-y+1/2,z'
'x+1/2,y+1/2,-z'
'y,-x+1/2,z'
'-y,x+1/2,-z'
'x+1/2,-y,-z'
'-x+1/2,y,z'
'-y,-x,-z'
'y,x,z'
'-x,y+1/2,-z'
'x,-y+1/2,z'
'y+1/2,x+1/2,-z'
'-y+1/2,-x+1/2,z'
loop_
_atom_site_label
_atom_site_fract_x
_atom_site_fract_y
_atom_site_fract_z
Li1 0.250 0.750 0.000
Au1 0.250 0.250 0.486
Se1 0.250 0.250 0.854
O1 0.250 0.750 0.500
# E above lowest polymorph (meV per atom): 546.0

=====

14.
# PBE LiTb2AuSe2O2, relaxed
data_LiTb2AuSe2O2
_cell_length_a 3.949
_cell_length_b 3.949
_cell_length_c 9.040
_cell_angle_alpha 90.00
_cell_angle_beta 90.00
_cell_angle_gamma 90.00
_space_group_name_H-M_alt 'P -4 m 2'
_space_group_IT_number 115
loop_
_space_group_symop_operation_xyz
'x,y,z'
'y,-x,-z'
'-x,-y,z'
'-y,x,-z'
'-x,y,z'
'-y,-x,-z'
'x,-y,z'
'y,x,-z'
loop_
_atom_site_label
_atom_site_fract_x
_atom_site_fract_y
_atom_site_fract_z
Li1 0.000 0.000 0.000
Tb1 0.000 0.500 0.376
Au1 0.500 0.500 0.000
Se1 0.000 0.500 0.801
O1 0.000 0.000 0.500
O2 0.500 0.500 0.500
# Magnetic moment (μB per cell): 0.0
# E_tot (eV/cell): -48.4

=====

15.
# PBE LiSnAu3O4, relaxed
data_LiSnAu3O4
_cell_length_a 5.250
_cell_length_b 5.250
_cell_length_c 5.250
_cell_angle_alpha 90.00
_cell_angle_beta 90.00
_cell_angle_gamma 90.00
_space_group_name_H-M_alt 'P -4 3 m'
_space_group_IT_number 215
_space_group_name_Hall 'P -4 2 3'
loop_
_atom_site_label
_atom_site_fract_x
_atom_site_fract_y
_atom_site_fract_z
Li1 0.000 0.000 0.000
Sn1 0.500 0.500 0.500
Au1 0.000 0.500 0.500
O1 0.230 0.230 0.230
# E_tot (eV/cell): -35.3

=====

16.
# PBE Sr3LiAuO6, relaxed
data_Sr3LiAuO6
_cell_length_a 9.6733
_cell_length_b 9.6733
_cell_length_c 11.2280
_cell_angle_alpha 90.00
_cell_angle_beta 90.00
_cell_angle_gamma 120.00
_space_group_name_H-M_alt 'R -3 c'
_space_group_IT_number 167
_space_group_name_Hall '-R 3 2"c'
loop_
_atom_site_label
_atom_site_fract_x
_atom_site_fract_y
_atom_site_fract_z
Sr1 0.0000 0.3605 0.2500
Li1 0.0000 0.0000 0.2500
Au1 0.0000 0.0000 0.0000
O1 0.0234 0.1786 0.3914
# E_tot (eV/cell): -363.6

=====

17.
# PBE Li4TcAuO6, relaxed
data_Li4TcAuO6
_cell_length_a 5.157
_cell_length_b 9.424
_cell_length_c 4.988
_cell_angle_alpha 90.00
_cell_angle_beta 108.32
_cell_angle_gamma 90.00
_space_group_name_H-M_alt 'C 1 2 1'
_space_group_IT_number 5
loop_
_space_group_symop_operation_xyz
'x,y,z'
'-x,y,-z'
'x+1/2,y+1/2,z'
'-x+1/2,y+1/2,-z'
loop_
_atom_site_label
_atom_site_fract_x
_atom_site_fract_y
_atom_site_fract_z
Li1 0.000 0.000 0.000
Li2 0.000 0.131 0.500
Li3 0.000 0.500 0.500
Li4 0.000 0.809 0.500
Tc1 0.000 0.326 0.000
Au1 0.000 0.659 0.000
O1 0.194 0.325 0.745
O2 0.237 0.157 0.246
O3 0.250 0.460 0.232
# Magnetic moment (μB per cell): 0.0
# E_tot (eV/cell): -134.4

=====

18.
# PBE LiTe4AuO14, relaxed
data_LiTe4AuO14
_cell_length_a 5.531
_cell_length_b 6.572
_cell_length_c 8.363
_cell_angle_alpha 68.16
_cell_angle_beta 84.98
_cell_angle_gamma 72.48
_space_group_name_H-M_alt 'P -1'
_space_group_IT_number 2
loop_
_space_group_symop_operation_xyz
'x,y,z'
'-x,-y,-z'
loop_
_atom_site_label
_atom_site_fract_x
_atom_site_fract_y
_atom_site_fract_z
Li1 0.000 0.000 0.000
Te1 0.103 0.749 0.768
Te2 0.496 0.200 0.814
Au1 0.000 0.500 0.500
O1 0.007 0.714 0.988
O2 0.104 0.385 0.305
O3 0.174 0.878 0.255
O4 0.259 0.922 0.598
O5 0.354 0.321 0.591
O6 0.369 0.938 0.922
O7 0.414 0.478 0.853
# E_tot (eV/cell): -99.0

=====

19.
# PBE LiYAuO, relaxed
data_LiYAuO
_cell_length_a 3.3700
_cell_length_b 3.3700
_cell_length_c 14.0057
_cell_angle_alpha 90.00
_cell_angle_beta 90.00
_cell_angle_gamma 120.00
_space_group_name_H-M_alt 'P 63 m c'
_space_group_IT_number 186
_space_group_name_Hall 'P 6c -2c'
loop_
_atom_site_label
_atom_site_fract_x
_atom_site_fract_y
_atom_site_fract_z
Li1 0.3333 0.6667 0.0000
Y1 0.0000 0.0000 0.3368
Au1 0.3333 0.6667 0.1822
O1 0.3333 0.6667 0.4320
# Magnetic moment (μB per cell): 1.5
# E above lowest polymorph (meV per atom): 0.0

=====

20.
# PBE LiYAuO, relaxed
data_LiYAuO
_cell_length_a 3.2978
_cell_length_b 3.2978
_cell_length_c 14.1830
_cell_angle_alpha 90.00
_cell_angle_beta 90.00
_cell_angle_gamma 120.00
_space_group_name_H-M_alt 'P -6 m 2'
_space_group_IT_number 187
_space_group_name_Hall 'P -6 2'
loop_
_atom_site_label
_atom_site_fract_x
_atom_site_fract_y
_atom_site_fract_z
Li1 0.0000 0.0000 0.1735
Y1 0.3333 0.6667 0.3391
Au1 0.0000 0.0000 0.0000
Au2 0.6667 0.3333 0.5000
O1 0.6667 0.3333 0.2406
# Magnetic moment (μB per cell): 0.1
# E above lowest polymorph (meV per atom): 24.7